1.
# Li2TlZn | the Alexandria database | PBE-GGA | relaxed
data_Li2TlZn
_chemical_formula_sum 'Li6 Tl3 Zn3'
_symmetry_space_group_name_H-M 'R -3 m'
_symmetry_Int_Tables_number 166
_symmetry_space_group_name_Hall '-R 3 2"'
_cell_length_a 3.2048
_cell_length_b 3.2048
_cell_length_c 27.6563
_cell_angle_alpha 90.00
_cell_angle_beta 90.00
_cell_angle_gamma 120.00
loop_
_atom_site_label
_atom_site_fract_x
_atom_site_fract_y
_atom_site_fract_z
_atom_site_occupancy
Li1 0.0000 0.0000 0.2470 1
Tl1 0.0000 0.0000 0.0000 1
Zn1 0.0000 0.0000 0.5000 1
# Energy (eV per atom): -1.898
# ΔE_f (meV/atom): -31
# Calculated volume (Å³ per atom): 20.50
# Crystal system: trigonal

***

2.
# LiTl2Zn | the Alexandria database | PBE-GGA | relaxed
data_LiTl2Zn
_chemical_formula_sum 'Li2 Tl4 Zn2'
_symmetry_space_group_name_H-M 'I -4 m 2'
_symmetry_Int_Tables_number 119
_symmetry_space_group_name_Hall 'I -4 -2'
_cell_length_a 4.329
_cell_length_b 4.329
_cell_length_c 9.795
_cell_angle_alpha 90.00
_cell_angle_beta 90.00
_cell_angle_gamma 90.00
loop_
_atom_site_label
_atom_site_fract_x
_atom_site_fract_y
_atom_site_fract_z
_atom_site_occupancy
Li1 0.000 0.000 0.000 1
Tl1 0.000 0.000 0.500 1
Tl2 0.000 0.500 0.750 1
Zn1 0.000 0.500 0.250 1
# Energy (eV per atom): -1.989
# ΔE_f (meV/atom): -9
# Calculated volume (Å³ per atom): 22.94
# Crystal system: tetragonal

***

3.
# LiTl2Zn | the Alexandria database | PBE-GGA | relaxed
data_LiTl2Zn
_chemical_formula_sum 'Li3 Tl6 Zn3'
_symmetry_space_group_name_H-M 'R 3 m'
_symmetry_Int_Tables_number 160
_symmetry_space_group_name_Hall 'R 3 -2"'
_cell_length_a 3.4485
_cell_length_b 3.4485
_cell_length_c 27.7158
_cell_angle_alpha 90.00
_cell_angle_beta 90.00
_cell_angle_gamma 120.00
loop_
_atom_site_label
_atom_site_fract_x
_atom_site_fract_y
_atom_site_fract_z
_atom_site_occupancy
Li1 0.0000 0.0000 0.0000 1
Tl1 0.0000 0.0000 0.2525 1
Tl2 0.0000 0.0000 0.4846 1
Zn1 0.0000 0.0000 0.7354 1
# Energy (eV per atom): -1.959
# ΔE_f (meV/atom): 21
# Calculated volume (Å³ per atom): 23.79
# Crystal system: trigonal

***

4.
# Li6Tl3Zn | the Alexandria database | PBE-GGA | relaxed
data_Li6Tl3Zn
_chemical_formula_sum 'Li12 Tl6 Zn2'
_symmetry_space_group_name_H-M 'P 1 21/m 1'
_symmetry_Int_Tables_number 11
_cell_length_a 8.207
_cell_length_b 4.753
_cell_length_c 10.138
_cell_angle_alpha 90.00
_cell_angle_beta 106.73
_cell_angle_gamma 90.00
loop_
_symmetry_equiv_pos_as_xyz
'x,y,z'
'-x,-y,-z'
'-x,y+1/2,-z'
'x,-y+1/2,z'
loop_
_atom_site_label
_atom_site_fract_x
_atom_site_fract_y
_atom_site_fract_z
_atom_site_occupancy
Li1 0.046 0.250 0.409 1
Li2 0.168 0.750 0.195 1
Li3 0.268 0.250 0.009 1
Li4 0.349 0.250 0.312 1
Li5 0.362 0.750 0.807 1
Li6 0.449 0.250 0.624 1
Tl1 0.043 0.750 0.897 1
Tl2 0.150 0.250 0.708 1
Tl3 0.273 0.750 0.493 1
Zn1 0.452 0.750 0.086 1
# Energy (eV per atom): -2.179
# ΔE_f (meV/atom): -194
# Calculated volume (Å³ per atom): 18.94
# Crystal system: monoclinic

***

5.
# Li5Tl4Zn | the Alexandria database | PBE-GGA | relaxed
data_Li5Tl4Zn
_chemical_formula_sum 'Li5 Tl4 Zn1'
_symmetry_space_group_name_H-M 'P 4/m m m'
_symmetry_Int_Tables_number 123
_symmetry_space_group_name_Hall '-P 4 2'
_cell_length_a 3.381
_cell_length_b 3.381
_cell_length_c 17.502
_cell_angle_alpha 90.00
_cell_angle_beta 90.00
_cell_angle_gamma 90.00
loop_
_atom_site_label
_atom_site_fract_x
_atom_site_fract_y
_atom_site_fract_z
_atom_site_occupancy
Li1 0.000 0.000 0.000 1
Li2 0.000 0.000 0.210 1
Li3 0.000 0.000 0.417 1
Tl1 0.500 0.500 0.105 1
Tl2 0.500 0.500 0.315 1
Zn1 0.500 0.500 0.500 1
# Energy (eV per atom): -2.231
# ΔE_f (meV/atom): -200
# Calculated volume (Å³ per atom): 20.00
# Crystal system: tetragonal

***

6.
# LiTl2Zn | the Alexandria database | PBE-GGA | relaxed
data_LiTl2Zn
_chemical_formula_sum 'Li2 Tl4 Zn2'
_symmetry_space_group_name_H-M 'C 1 2/m 1'
_symmetry_Int_Tables_number 12
_cell_length_a 9.112
_cell_length_b 3.300
_cell_length_c 6.232
_cell_angle_alpha 90.00
_cell_angle_beta 99.51
_cell_angle_gamma 90.00
loop_
_symmetry_equiv_pos_as_xyz
'x,y,z'
'-x,-y,-z'
'-x,y,-z'
'x,-y,z'
'x+1/2,y+1/2,z'
'-x+1/2,-y+1/2,-z'
'-x+1/2,y+1/2,-z'
'x+1/2,-y+1/2,z'
loop_
_atom_site_label
_atom_site_fract_x
_atom_site_fract_y
_atom_site_fract_z
_atom_site_occupancy
Li1 0.000 0.000 0.000 1
Tl1 0.249 0.500 0.250 1
Zn1 0.000 0.500 0.500 1
# Energy (eV per atom): -1.990
# ΔE_f (meV/atom): -10
# Calculated volume (Å³ per atom): 23.10
# Crystal system: monoclinic

***

7.
# LiTl2Zn | the Alexandria database | PBE-GGA | relaxed
data_LiTl2Zn
_chemical_formula_sum 'Li1 Tl2 Zn1'
_symmetry_space_group_name_H-M 'P 4/m m m'
_symmetry_Int_Tables_number 123
_symmetry_space_group_name_Hall '-P 4 2'
_cell_length_a 4.846
_cell_length_b 4.846
_cell_length_c 3.879
_cell_angle_alpha 90.00
_cell_angle_beta 90.00
_cell_angle_gamma 90.00
loop_
_atom_site_label
_atom_site_fract_x
_atom_site_fract_y
_atom_site_fract_z
_atom_site_occupancy
Li1 0.000 0.000 0.000 1
Tl1 0.000 0.500 0.500 1
Zn1 0.500 0.500 0.000 1
# Energy (eV per atom): -2.006
# ΔE_f (meV/atom): -26
# Calculated volume (Å³ per atom): 22.78
# Crystal system: tetragonal

***

8.
# Li4Tl3Zn | the Alexandria database | PBE-GGA | relaxed
data_Li4Tl3Zn
_chemical_formula_sum 'Li8 Tl6 Zn2'
_symmetry_space_group_name_H-M 'I 4/m m m'
_symmetry_Int_Tables_number 139
_symmetry_space_group_name_Hall '-I 4 2'
_cell_length_a 4.741
_cell_length_b 4.741
_cell_length_c 13.798
_cell_angle_alpha 90.00
_cell_angle_beta 90.00
_cell_angle_gamma 90.00
loop_
_atom_site_label
_atom_site_fract_x
_atom_site_fract_y
_atom_site_fract_z
_atom_site_occupancy
Li1 0.000 0.500 0.117 1
Tl1 0.000 0.000 0.000 1
Tl2 0.000 0.000 0.256 1
Zn1 0.000 0.000 0.500 1
# Energy (eV per atom): -2.205
# ΔE_f (meV/atom): -202
# Calculated volume (Å³ per atom): 19.38
# Crystal system: tetragonal

***

9.
# LiTl2Zn | the Alexandria database | PBE-GGA | relaxed
data_LiTl2Zn
_chemical_formula_sum 'Li2 Tl4 Zn2'
_symmetry_space_group_name_H-M 'C 1 2/m 1'
_symmetry_Int_Tables_number 12
_cell_length_a 6.692
_cell_length_b 9.491
_cell_length_c 3.317
_cell_angle_alpha 90.00
_cell_angle_beta 116.39
_cell_angle_gamma 90.00
loop_
_symmetry_equiv_pos_as_xyz
'x,y,z'
'-x,-y,-z'
'-x,y,-z'
'x,-y,z'
'x+1/2,y+1/2,z'
'-x+1/2,-y+1/2,-z'
'-x+1/2,y+1/2,-z'
'x+1/2,-y+1/2,z'
loop_
_atom_site_label
_atom_site_fract_x
_atom_site_fract_y
_atom_site_fract_z
_atom_site_occupancy
Li1 0.000 0.000 0.000 1
Tl1 0.250 0.250 0.500 1
Zn1 0.000 0.500 0.000 1
# Energy (eV per atom): -1.946
# ΔE_f (meV/atom): 34
# Calculated volume (Å³ per atom): 23.59
# Crystal system: monoclinic

***

10.
# Li5TlZn2 | the Alexandria database | PBE-GGA | relaxed
data_Li5TlZn2
_chemical_formula_sum 'Li20 Tl4 Zn8'
_symmetry_space_group_name_H-M 'I 4/m c m'
_symmetry_Int_Tables_number 140
_symmetry_space_group_name_Hall '-I 4 2c'
_cell_length_a 7.141
_cell_length_b 7.141
_cell_length_c 11.070
_cell_angle_alpha 90.00
_cell_angle_beta 90.00
_cell_angle_gamma 90.00
loop_
_atom_site_label
_atom_site_fract_x
_atom_site_fract_y
_atom_site_fract_z
_atom_site_occupancy
Li1 0.000 0.000 0.000 1
Li2 0.158 0.342 0.155 1
Tl1 0.000 0.000 0.250 1
Zn1 0.134 0.366 0.500 1
# Energy (eV per atom): -1.937
# ΔE_f (meV/atom): -127
# Calculated volume (Å³ per atom): 17.64
# Crystal system: tetragonal

***

11.
# Li4Tl5Zn | the Alexandria database | PBE-GGA | relaxed
data_Li4Tl5Zn
_chemical_formula_sum 'Li4 Tl5 Zn1'
_symmetry_space_group_name_H-M 'P 4/m m m'
_symmetry_Int_Tables_number 123
_symmetry_space_group_name_Hall '-P 4 2'
_cell_length_a 3.561
_cell_length_b 3.561
_cell_length_c 17.024
_cell_angle_alpha 90.00
_cell_angle_beta 90.00
_cell_angle_gamma 90.00
loop_
_atom_site_label
_atom_site_fract_x
_atom_site_fract_y
_atom_site_fract_z
_atom_site_occupancy
Li1 0.000 0.000 0.098 1
Li2 0.000 0.000 0.297 1
Tl1 0.500 0.500 0.000 1
Tl2 0.500 0.500 0.197 1
Tl3 0.500 0.500 0.398 1
Zn1 0.000 0.000 0.500 1
# Energy (eV per atom): -2.220
# ΔE_f (meV/atom): -144
# Calculated volume (Å³ per atom): 21.59
# Crystal system: tetragonal

***

12.
# Li7Tl3Zn2 | the Alexandria database | PBE-GGA | relaxed
data_Li7Tl3Zn2
_chemical_formula_sum 'Li14 Tl6 Zn4'
_symmetry_space_group_name_H-M 'C m m m'
_symmetry_Int_Tables_number 65
_symmetry_space_group_name_Hall '-C 2 2'
_cell_length_a 4.631
_cell_length_b 21.504
_cell_length_c 4.742
_cell_angle_alpha 90.00
_cell_angle_beta 90.00
_cell_angle_gamma 90.00
loop_
_atom_site_label
_atom_site_fract_x
_atom_site_fract_y
_atom_site_fract_z
_atom_site_occupancy
Li1 0.000 0.000 0.000 1
Li2 0.000 0.080 0.500 1
Li3 0.000 0.276 0.000 1
Li4 0.000 0.419 0.000 1
Tl1 0.000 0.334 0.500 1
Tl2 0.000 0.500 0.500 1
Zn1 0.000 0.147 0.000 1
# Energy (eV per atom): -2.006
# ΔE_f (meV/atom): -85
# Calculated volume (Å³ per atom): 19.68
# Crystal system: orthorhombic

***

13.
# Li3Tl2Zn | the Alexandria database | PBE-GGA | relaxed
data_Li3Tl2Zn
_chemical_formula_sum 'Li12 Tl8 Zn4'
_symmetry_space_group_name_H-M 'I b a m'
_symmetry_Int_Tables_number 72
_symmetry_space_group_name_Hall '-I 2 2c'
_cell_length_a 5.812
_cell_length_b 15.024
_cell_length_c 5.504
_cell_angle_alpha 90.00
_cell_angle_beta 90.00
_cell_angle_gamma 90.00
loop_
_atom_site_label
_atom_site_fract_x
_atom_site_fract_y
_atom_site_fract_z
_atom_site_occupancy
Li1 0.000 0.000 0.250 1
Li2 0.174 0.352 0.000 1
Tl1 0.182 0.159 0.000 1
Zn1 0.000 0.500 0.250 1
# Energy (eV per atom): -2.078
# ΔE_f (meV/atom): -120
# Calculated volume (Å³ per atom): 20.02
# Relative energy among the computed polymorphs (eV/f.u.): 0.42
# Crystal system: orthorhombic

***

14.
# Li3Tl3Zn | the Alexandria database | PBE-GGA | relaxed
data_Li3Tl3Zn
_chemical_formula_sum 'Li12 Tl12 Zn4'
_symmetry_space_group_name_H-M 'C m m m'
_symmetry_Int_Tables_number 65
_symmetry_space_group_name_Hall '-C 2 2'
_cell_length_a 9.517
_cell_length_b 9.664
_cell_length_c 6.436
_cell_angle_alpha 90.00
_cell_angle_beta 90.00
_cell_angle_gamma 90.00
loop_
_atom_site_label
_atom_site_fract_x
_atom_site_fract_y
_atom_site_fract_z
_atom_site_occupancy
Li1 0.000 0.000 0.223 1
Li2 0.250 0.250 0.233 1
Tl1 0.000 0.271 0.500 1
Tl2 0.190 0.500 0.000 1
Tl3 0.249 0.000 0.500 1
Zn1 0.000 0.256 0.000 1
# Energy (eV per atom): -2.143
# ΔE_f (meV/atom): -126
# Calculated volume (Å³ per atom): 21.14
# Crystal system: orthorhombic

***

15.
# Li8Tl2Zn | the Alexandria database | PBE-GGA | relaxed
data_Li8Tl2Zn
_chemical_formula_sum 'Li16 Tl4 Zn2'
_symmetry_space_group_name_H-M 'C 1 2/m 1'
_symmetry_Int_Tables_number 12
_cell_length_a 14.359
_cell_length_b 4.462
_cell_length_c 6.682
_cell_angle_alpha 90.00
_cell_angle_beta 110.01
_cell_angle_gamma 90.00
loop_
_symmetry_equiv_pos_as_xyz
'x,y,z'
'-x,-y,-z'
'-x,y,-z'
'x,-y,z'
'x+1/2,y+1/2,z'
'-x+1/2,-y+1/2,-z'
'-x+1/2,y+1/2,-z'
'x+1/2,-y+1/2,z'
loop_
_atom_site_label
_atom_site_fract_x
_atom_site_fract_y
_atom_site_fract_z
_atom_site_occupancy
Li1 0.032 0.000 0.232 1
Li2 0.095 0.500 0.936 1
Li3 0.143 0.000 0.682 1
Li4 0.171 0.500 0.404 1
Tl1 0.214 0.000 0.150 1
Zn1 0.000 0.500 0.500 1
# Energy (eV per atom): -2.103
# ΔE_f (meV/atom): -165
# Calculated volume (Å³ per atom): 18.28
# Crystal system: monoclinic

***

16.
# LiTl4Zn | the Alexandria database | PBE-GGA | relaxed
data_LiTl4Zn
_chemical_formula_sum 'Li4 Tl16 Zn4'
_symmetry_space_group_name_H-M 'F -4 3 m'
_symmetry_Int_Tables_number 216
_symmetry_space_group_name_Hall 'F -4 2 3'
_cell_length_a 9.027
_cell_length_b 9.027
_cell_length_c 9.027
_cell_angle_alpha 90.00
_cell_angle_beta 90.00
_cell_angle_gamma 90.00
loop_
_atom_site_label
_atom_site_fract_x
_atom_site_fract_y
_atom_site_fract_z
_atom_site_occupancy
Li1 0.000 0.000 0.000 1
Tl1 0.125 0.125 0.625 1
Zn1 0.250 0.250 0.250 1
# Energy (eV per atom): -1.902
# ΔE_f (meV/atom): 206
# Calculated volume (Å³ per atom): 30.65
# Crystal system: cubic

***

17.
# LiTl2Zn | the Alexandria database | PBE-GGA | relaxed
data_LiTl2Zn
_chemical_formula_sum 'Li4 Tl8 Zn4'
_symmetry_space_group_name_H-M 'I -4 2 d'
_symmetry_Int_Tables_number 122
_symmetry_space_group_name_Hall 'I -4 2bw'
_cell_length_a 7.853
_cell_length_b 7.853
_cell_length_c 6.454
_cell_angle_alpha 90.00
_cell_angle_beta 90.00
_cell_angle_gamma 90.00
loop_
_atom_site_label
_atom_site_fract_x
_atom_site_fract_y
_atom_site_fract_z
_atom_site_occupancy
Li1 0.000 0.000 0.000 1
Tl1 0.240 0.750 0.625 1
Zn1 0.000 0.000 0.500 1
# Energy (eV per atom): -1.914
# ΔE_f (meV/atom): 66
# Calculated volume (Å³ per atom): 24.87
# Crystal system: tetragonal

***

18.
# LiTl2Zn | the Alexandria database | PBE-GGA | relaxed
data_LiTl2Zn
_chemical_formula_sum 'Li1 Tl2 Zn1'
_symmetry_space_group_name_H-M 'P 4 m m'
_symmetry_Int_Tables_number 99
_cell_length_a 3.637
_cell_length_b 3.637
_cell_length_c 6.935
_cell_angle_alpha 90.00
_cell_angle_beta 90.00
_cell_angle_gamma 90.00
loop_
_symmetry_equiv_pos_as_xyz
'x,y,z'
'-y,x,z'
'-x,-y,z'
'y,-x,z'
'-x,y,z'
'y,x,z'
'x,-y,z'
'-y,-x,z'
loop_
_atom_site_label
_atom_site_fract_x
_atom_site_fract_y
_atom_site_fract_z
_atom_site_occupancy
Li1 0.000 0.000 0.000 1
Tl1 0.000 0.000 0.566 1
Tl2 0.500 0.500 0.246 1
Zn1 0.500 0.500 0.814 1
# Energy (eV per atom): -2.002
# ΔE_f (meV/atom): -22
# Calculated volume (Å³ per atom): 22.94
# Crystal system: tetragonal

***

19.
# Li2TlZn2 | the Alexandria database | PBE-GGA | relaxed
data_Li2TlZn2
_chemical_formula_sum 'Li8 Tl4 Zn8'
_symmetry_space_group_name_H-M 'C 1 2/c 1'
_symmetry_Int_Tables_number 15
_cell_length_a 9.858
_cell_length_b 4.762
_cell_length_c 7.831
_cell_angle_alpha 90.00
_cell_angle_beta 107.54
_cell_angle_gamma 90.00
loop_
_symmetry_equiv_pos_as_xyz
'x,y,z'
'-x,-y,-z'
'-x,y,-z+1/2'
'x,-y,z+1/2'
'x+1/2,y+1/2,z'
'-x+1/2,-y+1/2,-z'
'-x+1/2,y+1/2,-z+1/2'
'x+1/2,-y+1/2,z+1/2'
loop_
_atom_site_label
_atom_site_fract_x
_atom_site_fract_y
_atom_site_fract_z
_atom_site_occupancy
Li1 0.187 0.207 0.146 1
Tl1 0.000 0.218 0.750 1
Zn1 0.117 0.292 0.458 1
# Energy (eV per atom): -1.888
# ΔE_f (meV/atom): -139
# Calculated volume (Å³ per atom): 17.53
# Relative energy among the computed polymorphs (eV/f.u.): 0.00
# Crystal system: monoclinic

***

20.
# Li7Tl2Zn | the Alexandria database | PBE-GGA | relaxed
data_Li7Tl2Zn
_chemical_formula_sum 'Li28 Tl8 Zn4'
_symmetry_space_group_name_H-M 'F m -3 m'
_symmetry_Int_Tables_number 225
_symmetry_space_group_name_Hall '-F 4 2 3'
_cell_length_a 9.561
_cell_length_b 9.561
_cell_length_c 9.561
_cell_angle_alpha 90.00
_cell_angle_beta 90.00
_cell_angle_gamma 90.00
loop_
_atom_site_label
_atom_site_fract_x
_atom_site_fract_y
_atom_site_fract_z
_atom_site_occupancy
Li1 0.000 0.000 0.000 1
Li2 0.000 0.000 0.251 1
Tl1 0.250 0.250 0.250 1
Zn1 0.000 0.000 0.500 1
# Energy (eV per atom): -1.802
# ΔE_f (meV/atom): 139
# Calculated volume (Å³ per atom): 21.85
# Relative energy among the computed polymorphs (eV/f.u.): 2.42
# Crystal system: cubic